A geometry-optimized CaAc3Ni2O9 structure. Source: the Alexandria database, functional PBE+U.

## Properties
Magnetic moment = 1.000 Bohr magnetons per cell
Uncorrected energy = -98.27 eV for the cell shown

Unit cell a=5.6505 b=5.6505 c=7.0766 alpha=90.00 beta=90.00 gamma=120.00
Site moments in Bohr magnetons follow the coordinates.
Sites, in units of the cell vectors:
O (0.6491, 0.8245, 0.3113)  -0.10
O (0.0000, 0.5000, 0.0000)  -0.11
O (0.3509, 0.1755, 0.6887)  -0.10
O (0.8245, 0.1755, 0.6887)  -0.10
O (0.5000, 0.0000, 0.0000)  -0.11
O (0.1755, 0.3509, 0.3113)  -0.10
O (0.5000, 0.5000, 0.0000)  -0.11
O (0.8245, 0.6491, 0.6887)  -0.10
O (0.1755, 0.8245, 0.3113)  -0.10
Ca (0.0000, 0.0000, 0.5000)  -0.01
Ni (0.6667, 0.3333, 0.8391)  1.03
Ni (0.3333, 0.6667, 0.1609)  1.03
Ac (0.0000, 0.0000, 0.0000)  0.01
Ac (0.3333, 0.6667, 0.6884)  0.01
Ac (0.6667, 0.3333, 0.3116)  0.01